The following is a DFT calculation (PBEsol) of a relaxed structure of AgTe2Pt.

Values from the calculation:
Size of the total moment   0.000 μB per atom
N(E_F)   0.465 states/eV per atom
Uncorrected formation energy   -0.08 eV/atom

```
data_AgTe2Pt
_space_group_name_H-M_alt 'C 1 m 1'
_space_group_IT_number 8
_cell_length_a 9.635
_cell_length_b 3.926
_cell_length_c 5.538
_cell_angle_alpha 90.00
_cell_angle_beta 104.89
_cell_angle_gamma 90.00
loop_
_space_group_symop_operation_xyz
'x,y,z'
'x,-y,z'
'x+1/2,y+1/2,z'
'x+1/2,-y+1/2,z'
loop_
_atom_site_label
_atom_site_fract_x
_atom_site_fract_y
_atom_site_fract_z
Ag1 0.000 0.000 0.000
Te1 0.183 0.500 0.809
Te2 0.393 0.500 0.425
Pt1 0.295 0.000 0.115
```